{"formula": "CsCeTm4S8", "functional": "PBE-GGA", "state": "relaxed", "lattice": [[-0.964, 4.513, 6.773], [2.075, -3.079, 7.306], [6.834, 3.011, 3.925]], "species": ["Cs", "Ce", "Tm", "Tm", "Tm", "Tm", "S", "S", "S", "S", "S", "S", "S", "S"], "frac_coords": [[0.368, 0.368, 0.896], [0.005, 0.005, 0.984], [0.626, 0.626, 0.123], [0.004, 0.488, 0.504], [0.488, 0.004, 0.504], [0.004, 0.004, 0.504], [0.237, 0.813, 0.714], [0.813, 0.237, 0.714], [0.237, 0.237, 0.714], [0.226, 0.226, 0.322], [0.751, 0.233, 0.264], [0.233, 0.751, 0.264], [0.751, 0.751, 0.264], [0.756, 0.756, 0.731]], "final_energy_ev_per_atom": -5.943, "sg": "R3m, No. 160", "magmom_total_mub_per_cell": 1.01, "n_ef_per_ev_atom": 0.582, "formation_energy_uncorrected_ev_per_fu": -25.5}